VASP calculation (GGA-PBE) on NaEuTlPb after structural relaxation.

Its energy of formation from the pure elements is -0.35 eV per atom. The density of states at the Fermi level comes out at 2.2151 states/eV/atom.

The space group is F-43m (No. 216) and the conventional cell measures 7.812, 7.812 and 7.812 Å, with angles of 90.00, 90.00 and 90.00 degrees. Symmetry generates all atoms from Na at (0.000, 0.000, 0.000), Eu at (0.000, 0.000, 0.500), Tl at (0.250, 0.250, 0.750) and Pb at (0.250, 0.250, 0.250).

=====

VASP calculation (GGA-PBE) on NaEuYPb after structural relaxation.

Its energy of formation from the pure elements is -0.23 eV per atom. The density of states at the Fermi level comes out at 2.3095 states/eV/atom.

The space group is F-43m (No. 216) and the conventional cell measures 7.852, 7.852 and 7.852 Å, with angles of 90.00, 90.00 and 90.00 degrees. Symmetry generates all atoms from Na at (0.000, 0.000, 0.000), Eu at (0.250, 0.250, 0.250), Y at (0.250, 0.250, 0.750) and Pb at (0.000, 0.000, 0.500).

=====

VASP calculation (GGA-PBE) on NaEuPd2 after structural relaxation.

Its energy of formation from the pure elements is -0.30 eV per atom. The density of states at the Fermi level comes out at 3.1554 states/eV/atom.

The space group is P4/mmm (No. 123) and the conventional cell measures 3.375, 3.375 and 7.568 Å, with angles of 90.00, 90.00 and 90.00 degrees. Symmetry generates all atoms from Na at (0.000, 0.000, 0.000), Eu at (0.000, 0.000, 0.500) and Pd at (0.500, 0.500, 0.247).

=====

Values of energy, in order: -4.7699 -5.6669 -5.7962, all in eV/atom.